# 1
The following is a GGA-PBE calculation of a geometry-optimized Ga2H6Pt structure, from the Alexandria database.

Unit cell a=5.4671 b=5.4671 c=5.4671 alpha=60.00 beta=60.00 gamma=60.00
Closest atoms and distances in Å follow each position.
Element x y z (fractional)
H1 0.2149 0.7851 0.2149  1 Pt 1.66
H2 0.7851 0.2149 0.2149  1 Pt 1.66
H3 0.7851 0.2149 0.7851  1 Pt 1.66
H4 0.2149 0.7851 0.7851  1 Pt 1.66
H5 0.2149 0.2149 0.7851  1 Pt 1.66
H6 0.7851 0.7851 0.2149  1 Pt 1.66
Ga1 0.2500 0.2500 0.2500  12 H 2.75
Ga2 0.7500 0.7500 0.7500  12 H 2.75
Pt1 0.0000 0.0000 0.0000  6 H 1.66

## Properties
Electronic total energy = -30.940 eV per cell
Space-group type = Fm-3m
Spin magnetization = 0.000 μB per formula unit


# 2
The following is a GGA-PBE calculation of a geometry-optimized GaH2Pt2 structure, from the Alexandria database.

Unit cell a=5.6618 b=5.6618 c=3.4675 alpha=90.00 beta=90.00 gamma=90.00
Closest atoms and distances in Å follow each position.
Element x y z (fractional)
Pt1 0.8243 0.6757 0.5000  2 H 1.77
Pt2 0.6757 0.1757 0.5000  2 H 1.77
Pt3 0.1757 0.3243 0.5000  2 H 1.77
Pt4 0.3243 0.8243 0.5000  2 H 1.77
Ga1 0.0000 0.0000 0.0000  4 H 2.21
Ga2 0.5000 0.5000 0.0000  4 H 2.21
H1 0.1316 0.3684 0.0000  2 Pt 1.77
H2 0.3684 0.8684 0.0000  2 Pt 1.77
H3 0.8684 0.6316 0.0000  2 Pt 1.77
H4 0.6316 0.1316 0.0000  2 Pt 1.77

## Properties
Energy above the lowest structure with this stoichiometry = 0 meV/atom
Electronic total energy = -44.970 eV per cell
Space-group type = P4/mbm
Spin magnetization = 0.000 μB per formula unit


# 3
The following is a GGA-PBE calculation of a geometry-optimized GaHPt structure, from the Alexandria database.

Unit cell a=3.2155 b=3.2155 c=4.4742 alpha=111.06 beta=111.06 gamma=90.00
Closest atoms and distances in Å follow each position.
Element x y z (fractional)
H1 0.0306 0.0306 0.0612  1 Pt 1.66
Ga1 0.5738 0.5738 0.1476  4 H 2.30, 1 Pt 2.53
Pt1 0.2456 0.2456 0.4912  1 H 1.66

## Properties
Electronic total energy = -12.751 eV per cell
Space-group type = I4mm
Spin magnetization = 0.000 μB per formula unit


# 4
The following is a GGA-PBE calculation of a geometry-optimized GaH3Pt structure, from the Alexandria database.

Unit cell a=3.6018 b=3.6018 c=3.6018 alpha=90.00 beta=90.00 gamma=90.00
Closest atoms and distances in Å follow each position.
Element x y z (fractional)
H1 0.0000 0.5000 0.0000  2 Ga 1.80
H2 0.5000 0.0000 0.0000  2 Ga 1.80
H3 0.0000 0.0000 0.5000  2 Ga 1.80
Pt1 0.5000 0.5000 0.5000  12 H 2.55
Ga1 0.0000 0.0000 0.0000  6 H 1.80

## Properties
Energy above the lowest structure with this stoichiometry = 743 meV/atom
Electronic total energy = -14.926 eV per cell
Space-group type = Pm-3m
Spin magnetization = 0.000 μB per formula unit


# 5
The following is a GGA-PBE calculation of a geometry-optimized GaHPt2 structure, from the Alexandria database.

Unit cell a=5.1593 b=5.1593 c=5.6080 alpha=62.61 beta=62.61 gamma=90.00
Closest atoms and distances in Å follow each position.
Element x y z (fractional)
Ga1 0.0000 0.0000 0.0000  4 Pt 2.52
Ga2 0.7500 0.2500 0.5000  4 Pt 2.52
H1 0.5000 0.5000 0.0000  4 Pt 1.81
H2 0.2500 0.7500 0.5000  4 Pt 1.81
Pt1 0.8750 0.7593 0.7500  2 H 1.81
Pt2 0.2407 0.6250 0.2500  2 H 1.81
Pt3 0.3750 0.4907 0.7500  2 H 1.81
Pt4 0.5093 0.1250 0.2500  2 H 1.81

## Properties
Energy above the lowest structure with this stoichiometry = 61 meV/atom
Electronic total energy = -37.948 eV per cell
Space-group type = I-42d
Spin magnetization = 0.000 μB per formula unit


# 6
The following is a GGA-PBE calculation of a geometry-optimized GaHPt2 structure, from the Alexandria database.

Unit cell a=3.0773 b=3.0773 c=6.4934 alpha=76.29 beta=76.29 gamma=60.00
Closest atoms and distances in Å follow each position.
Element x y z (fractional)
Pt1 0.2577 0.2577 0.2268  3 Ga 2.54, 3 H 2.61
Pt2 0.0548 0.0548 0.8355  3 H 1.85
Ga1 0.4942 0.4942 0.5175  6 Pt 2.54-2.67
H1 0.6933 0.6933 0.9202  3 Pt 1.85

## Properties
Energy above the lowest structure with this stoichiometry = 0 meV/atom
Electronic total energy = -19.218 eV per cell
Space-group type = R3m
Spin magnetization = 0.000 μB per formula unit


# 7
The following is a GGA-PBE calculation of a geometry-optimized GaHPt3 structure, from the Alexandria database.

Unit cell a=4.0197 b=4.0197 c=4.0197 alpha=90.00 beta=90.00 gamma=90.00
Closest atoms and distances in Å follow each position.
Element x y z (fractional)
Pt1 0.5000 0.0000 0.0000  2 H 2.01
Pt2 0.0000 0.5000 0.0000  2 H 2.01
Pt3 0.0000 0.0000 0.5000  2 H 2.01
H1 0.0000 0.0000 0.0000  6 Pt 2.01
Ga1 0.5000 0.5000 0.5000  12 Pt 2.84

## Properties
Energy above the lowest structure with this stoichiometry = 0 meV/atom
Electronic total energy = -25.806 eV per cell
Space-group type = Pm-3m
Spin magnetization = 0.000 μB per formula unit


# 8
The following is a GGA-PBE calculation of a geometry-optimized GaH2Pt structure, from the Alexandria database.

Unit cell a=2.8936 b=2.8936 c=6.6596 alpha=77.45 beta=77.45 gamma=60.00
Closest atoms and distances in Å follow each position.
Element x y z (fractional)
H1 0.8791 0.8791 0.3628  3 Pt 1.89
H2 0.1209 0.1209 0.6372  3 Pt 1.89
Ga1 0.0000 0.0000 0.0000  2 H 2.34
Pt1 0.5000 0.5000 0.5000  6 H 1.89

## Properties
Energy above the lowest structure with this stoichiometry = 0 meV/atom
Electronic total energy = -15.250 eV per cell
Space-group type = R-3m
Spin magnetization = 0.000 μB per formula unit


# 9
The following is a GGA-PBE calculation of a geometry-optimized PuGaHPt2 structure, from the Alexandria database.

Unit cell a=3.9078 b=5.9151 c=7.3351 alpha=90.00 beta=90.00 gamma=109.29
Closest atoms and distances in Å follow each position.
Element x y z (fractional)
Pt1 0.8457 0.6915 0.4449  1 H 1.77
Pt2 0.1543 0.3085 0.5551  1 H 1.77
Pt3 0.1543 0.3085 0.9449  1 H 1.77
Pt4 0.8457 0.6915 0.0551  1 H 1.77
Pu1 0.4512 0.9025 0.7500  4 H 2.73
Pu2 0.5488 0.0975 0.2500  4 H 2.73
Ga1 0.2666 0.5332 0.2500  6 Pt 2.57-2.58
Ga2 0.7334 0.4668 0.7500  6 Pt 2.57-2.58
H1 0.0000 0.0000 0.5000  2 Pt 1.77
H2 0.0000 0.0000 0.0000  2 Pt 1.77

## Properties
Electronic total energy = -71.945 eV per cell
Space-group type = Cmcm
Spin magnetization = 5.296 μB per formula unit


# 10
The following is a GGA-PBE calculation of a geometry-optimized PuGaHPt structure, from the Alexandria database.

Unit cell a=4.4804 b=4.4804 c=3.7232 alpha=90.00 beta=90.00 gamma=120.00
Closest atoms and distances in Å follow each position.
Element x y z (fractional)
Pt1 0.2386 0.4772 0.8097  2 H 1.86
Pu1 0.5719 0.1438 0.3098  3 H 2.59
Ga1 0.9052 0.8105 0.8100  3 Pt 2.59
H1 0.2386 0.4772 0.3096  2 Pt 1.86

## Properties
Electronic total energy = -29.087 eV per cell
Space-group type = P-6m2
Spin magnetization = 5.384 μB per formula unit


# 11
The following is a GGA-PBE calculation of a geometry-optimized GaHRuPt2 structure, from the Alexandria database.

Unit cell a=3.9146 b=3.9146 c=4.0930 alpha=90.00 beta=90.00 gamma=90.00
Closest atoms and distances in Å follow each position.
Element x y z (fractional)
Ru1 0.0000 0.0000 0.5000  2 H 2.05
H1 0.0000 0.0000 0.0000  4 Pt 1.96, 2 Ru 2.05
Pt1 0.0000 0.5000 0.0000  2 H 1.96
Pt2 0.5000 0.0000 0.0000  2 H 1.96
Ga1 0.5000 0.5000 0.5000  4 Ru 2.77, 8 Pt 2.83

## Properties
Electronic total energy = -28.423 eV per cell
Space-group type = P4/mmm
Spin magnetization = 0.000 μB per formula unit


# 12
The following is a GGA-PBE calculation of a geometry-optimized GaH2PtS structure, from the Alexandria database.

Unit cell a=3.4899 b=5.3157 c=3.4899 alpha=90.00 beta=90.00 gamma=90.00
Closest atoms and distances in Å follow each position.
Element x y z (fractional)
H1 0.5000 0.0000 0.0000  2 S 1.74
H2 0.0000 0.0000 0.5000  2 S 1.74
S1 0.0000 0.0000 0.0000  4 H 1.74
Ga1 0.5000 0.5000 0.5000  4 Pt 2.47
Pt1 0.0000 0.5000 0.0000  4 Ga 2.47, 2 S 2.66

## Properties
Electronic total energy = -19.441 eV per cell
Space-group type = P4/mmm
Spin magnetization = 0.000 μB per formula unit